(1)
The following is a DFT calculation (PBE) of a geometry-optimized Cr4Fe3 structure.

Structure (POSCAR):
```
Cr4Fe3
1.0
-7.576 -4.694 4.491
-9.289 -1.168 3.456
7.871 2.136 -5.752
Cr Fe
4 3
Direct
0.858 0.858 0.000
0.573 0.573 0.000
0.427 0.427 0.000
0.142 0.142 0.000
0.000 0.000 0.000
0.714 0.714 0.000
0.286 0.286 0.000
```

Calculated total energy   -9.020 eV per atom

***

(2)
The following is a DFT calculation (PBE) of a geometry-optimized CrFeCo2 structure.

Structure (POSCAR):
```
CrFeCo2
1.0
-1.692 -0.624 3.526
3.820 -2.925 1.316
0.092 4.903 0.912
Cr Fe Co
2 2 4
Direct
0.750 0.415 0.585
0.250 0.585 0.415
0.750 0.918 0.082
0.250 0.082 0.918
0.750 0.413 0.080
0.750 0.920 0.587
0.250 0.587 0.920
0.250 0.080 0.413
```

Calculated total energy   -8.017 eV per atom

***

(3)
The following is a DFT calculation (PBE) of a geometry-optimized La2PmTl2 structure.

Structure (POSCAR):
```
La2PmTl2
1.0
-4.011 3.147 0.098
-3.566 -0.572 5.092
0.851 5.107 3.490
La Pm Tl
2 1 2
Direct
0.186 0.314 0.314
0.814 0.686 0.686
0.000 0.000 0.000
0.500 0.281 0.719
0.500 0.719 0.281
```

Polymorph energy (0 for the lowest one)   0 meV/atom